1.
Below is an optimized crystal structure of Hf2ZnPdPt5, with properties calculated at the PBE level. Values from VASP.

```
&SYSTEM
  ibrav = 0, nat = 18, ntyp = 4
/
ATOMIC_SPECIES
Hf 178.49 Hf.upf
Zn 65.41 Zn.upf
Pd 106.42 Pd.upf
Pt 195.08 Pt.upf
ATOMIC_POSITIONS crystal
Hf 0.122 0.622 0.743
Hf 0.378 0.122 0.500
Hf 0.622 0.878 0.500
Hf 0.878 0.378 0.257
Zn 0.250 0.250 0.000
Zn 0.750 0.750 0.000
Pd 0.250 0.750 0.500
Pd 0.750 0.250 0.500
Pt 0.000 0.000 0.000
Pt 0.065 0.170 0.500
Pt 0.170 0.670 0.105
Pt 0.330 0.435 0.500
Pt 0.435 0.935 0.105
Pt 0.500 0.500 0.000
Pt 0.565 0.065 0.895
Pt 0.670 0.565 0.500
Pt 0.830 0.330 0.895
Pt 0.935 0.830 0.500
CELL_PARAMETERS angstrom
-3.992 3.992 5.265
3.992 -3.992 5.265
3.992 3.992 -5.265
```

Calculated values
- magnetization (Bohr magnetons per cell) = 0.0
- DFT total energy (eV/atom) = -6.529
- energy of formation from the pure elements (eV/atom) = -0.243

2.
Below is an optimized crystal structure of HfZnPdPt, with properties calculated at the PBE level. Values from VASP.

```
&SYSTEM
  ibrav = 0, nat = 4, ntyp = 4
/
ATOMIC_SPECIES
Hf 178.49 Hf.upf
Zn 65.41 Zn.upf
Pd 106.42 Pd.upf
Pt 195.08 Pt.upf
ATOMIC_POSITIONS crystal
Hf 0.000 0.000 0.000
Zn 0.500 0.500 0.000
Pd 0.750 0.250 0.500
Pt 0.250 0.750 0.500
CELL_PARAMETERS angstrom
-2.053 2.053 3.845
2.053 -2.053 3.845
2.053 2.053 -3.845
```

Calculated values
- magnetization (Bohr magnetons per cell) = 0.0
- DFT total energy (eV/atom) = -6.435
- ΔE to the lowest computed polymorph (meV/atom) = 0
- energy of formation from the pure elements (eV/atom) = -0.820

3.
Below is an optimized crystal structure of HfZnPdPt, with properties calculated at the PBE level. Values from VASP.

```
&SYSTEM
  ibrav = 0, nat = 4, ntyp = 4
/
ATOMIC_SPECIES
Hf 178.49 Hf.upf
Zn 65.41 Zn.upf
Pd 106.42 Pd.upf
Pt 195.08 Pt.upf
ATOMIC_POSITIONS crystal
Hf 0.000 0.000 0.000
Zn 0.500 0.500 0.500
Pd 0.250 0.250 0.250
Pt 0.750 0.750 0.750
CELL_PARAMETERS angstrom
0.000 3.204 3.204
3.204 0.000 3.204
3.204 3.204 0.000
```

Calculated values
- magnetization (Bohr magnetons per cell) = 0.0
- DFT total energy (eV/atom) = -6.424
- ΔE to the lowest computed polymorph (meV/atom) = 11
- energy of formation from the pure elements (eV/atom) = -0.808

4.
Below is an optimized crystal structure of PuHfPd2, with properties calculated at the PBE level. Values from VASP.

```
&SYSTEM
  ibrav = 0, nat = 4, ntyp = 3
/
ATOMIC_SPECIES
Pu 244.00 Pu.upf
Hf 178.49 Hf.upf
Pd 106.42 Pd.upf
ATOMIC_POSITIONS crystal
Pu 0.000 0.000 0.000
Hf 0.500 0.500 0.500
Pd 0.250 0.250 0.250
Pd 0.750 0.750 0.750
CELL_PARAMETERS angstrom
0.000 3.426 3.426
3.426 0.000 3.426
3.426 3.426 0.000
```

Calculated values
- magnetization (Bohr magnetons per cell) = 5.6
- DFT total energy (eV/atom) = -9.076
- ΔE to the lowest computed polymorph (meV/atom) = 146
- energy of formation from the pure elements (eV/atom) = -0.408

5.
Below is an optimized crystal structure of PuHf2Pd9, with properties calculated at the PBE level. Values from VASP.

```
&SYSTEM
  ibrav = 0, nat = 12, ntyp = 3
/
ATOMIC_SPECIES
Pu 244.00 Pu.upf
Hf 178.49 Hf.upf
Pd 106.42 Pd.upf
ATOMIC_POSITIONS crystal
Pu 0.000 0.000 0.000
Hf 0.000 0.000 0.336
Hf 0.000 0.000 0.664
Pd 0.000 0.500 0.178
Pd 0.000 0.500 0.500
Pd 0.000 0.500 0.822
Pd 0.500 0.000 0.178
Pd 0.500 0.000 0.500
Pd 0.500 0.000 0.822
Pd 0.500 0.500 0.000
Pd 0.500 0.500 0.339
Pd 0.500 0.500 0.661
CELL_PARAMETERS angstrom
4.056 0.000 0.000
0.000 4.056 0.000
0.000 0.000 12.215
```

Calculated values
- magnetization (Bohr magnetons per cell) = 4.9
- DFT total energy (eV/atom) = -7.522
- energy of formation from the pure elements (eV/atom) = -0.775

6.
Below is an optimized crystal structure of PuHfPd2, with properties calculated at the PBE level. Values from VASP.

```
&SYSTEM
  ibrav = 0, nat = 4, ntyp = 3
/
ATOMIC_SPECIES
Pu 244.00 Pu.upf
Hf 178.49 Hf.upf
Pd 106.42 Pd.upf
ATOMIC_POSITIONS crystal
Pu 0.000 0.000 0.000
Hf 0.000 0.000 0.500
Pd 0.500 0.500 0.294
Pd 0.500 0.500 0.706
CELL_PARAMETERS angstrom
3.303 0.000 0.000
0.000 3.303 0.000
0.000 0.000 7.421
```

Calculated values
- magnetization (Bohr magnetons per cell) = 6.0
- DFT total energy (eV/atom) = -9.221
- ΔE to the lowest computed polymorph (meV/atom) = 0
- energy of formation from the pure elements (eV/atom) = -0.554